The following is a PBE-GGA calculation of an optimized crystal structure of Pm2Pr2Sm5, from Alexandria via LeMat-Bulk.

The structure belongs to space group C2/m (No. 12); the cell edges are 17.9642, 3.5400 and 9.9979 Å and the angles 90.00°, 98.71° and 90.00°. The inequivalent atoms are Pm at (0.1634, 0.0000, 0.2270), Pr at (0.0048, 0.5000, 0.6879), Sm at (0.0000, 0.0000, 0.0000), Sm at (0.1710, 0.5000, 0.5395) and Sm at (0.1762, 0.0000, 0.8707).

The calculation puts the total magnetic moment at 0.00 μB per formula unit. The excess energy over the best structure of this formula in the dataset comes out at 0.00 eV/f.u. The value obtained for the density of states at the Fermi level is 30.876 states/eV per cell.